Computed, not measured: a relaxed Y3CdN crystal at the PBE-GGA level of DFT.

SG = No. 176
E_form (uncorrected) = -0.7948 eV per atom
magnetization = 0.0 Bohr magnetons per cell

Cell lengths 6.837, 6.837, 5.807 Å; angles 90.00, 90.00, 120.00 degrees
Atoms (fractional coordinates):
Y: 0.122 0.319 0.250
Y: 0.197 0.878 0.250
Y: 0.319 0.197 0.750
Y: 0.681 0.803 0.250
Y: 0.803 0.122 0.750
Y: 0.878 0.681 0.750
Cd: 0.333 0.667 0.750
Cd: 0.667 0.333 0.250
N: 0.000 0.000 0.000
N: 0.000 0.000 0.500



Computed, not measured: a relaxed Y3CdN crystal at the PBE-GGA level of DFT.

SG = No. 10
E_form (uncorrected) = -0.7759 eV per atom
magnetization = 0.0 Bohr magnetons per cell

Cell lengths 3.529, 4.769, 6.845 Å; angles 90.00, 90.34, 90.00 degrees
Atoms (fractional coordinates):
Y: 0.000 0.000 0.000
Y: 0.497 0.500 0.755
Y: 0.503 0.500 0.245
Cd: 0.000 0.000 0.500
N: 0.000 0.500 0.000



Computed, not measured: a relaxed Y6CdN crystal at the PBE-GGA level of DFT.

SG = No. 148
E_form (uncorrected) = -0.3277 eV per atom
magnetization = 0.0 Bohr magnetons per cell

Cell lengths 7.056, 7.056, 7.056 Å; angles 55.84, 55.84, 55.84 degrees
Atoms (fractional coordinates):
Y: 0.100 0.700 0.469
Y: 0.300 0.531 0.900
Y: 0.469 0.100 0.700
Y: 0.531 0.900 0.300
Y: 0.700 0.469 0.100
Y: 0.900 0.300 0.531
Cd: 0.000 0.000 0.000
N: 0.500 0.500 0.500



Computed, not measured: a relaxed Y3CdN crystal at the PBE-GGA level of DFT.

SG = No. 2
E_form (uncorrected) = -0.8754 eV per atom
magnetization = 0.0 Bohr magnetons per cell

Cell lengths 6.829, 6.830, 6.834 Å; angles 60.06, 60.07, 89.83 degrees
Atoms (fractional coordinates):
Y: 0.221 0.278 0.001
Y: 0.256 0.756 0.046
Y: 0.274 0.228 0.500
Y: 0.726 0.772 0.500
Y: 0.744 0.244 0.954
Y: 0.779 0.722 0.999
Cd: 0.250 0.751 0.503
Cd: 0.750 0.249 0.497
N: 0.000 0.000 0.000
N: 0.500 0.500 0.000